[1]
Computed, not measured: crystalline NaErTlIn at its relaxed geometry at the PBE-GGA level of DFT.

a = 5.294 Å, b = 5.294 Å, c = 5.294 Å
α = 60.00°, β = 60.00°, γ = 60.00°
Sites, in units of the cell vectors:
Na  0.000  0.000  0.000
Er  0.500  0.500  0.500
Tl  0.750  0.750  0.750
In  0.250  0.250  0.250

- Excess energy over the best structure of this formula in the dataset: 0.030 eV/atom
- Magnetic moment: 0.0 μB per formula unit
- DFT formation energy: -230 meV/atom



[2]
Computed, not measured: crystalline NaErTlIn at its relaxed geometry at the PBE-GGA level of DFT.

a = 3.810 Å, b = 5.234 Å, c = 5.262 Å
α = 90.00°, β = 90.00°, γ = 90.00°
Sites, in units of the cell vectors:
Na  0.000  0.000  0.000
Er  0.000  0.500  0.500
Tl  0.500  0.500  0.000
In  0.500  0.000  0.500

- Excess energy over the best structure of this formula in the dataset: 0.000 eV/atom
- Magnetic moment: 0.0 μB per formula unit
- DFT formation energy: -260 meV/atom



[3]
Computed, not measured: crystalline NaErTmIn at its relaxed geometry at the PBE-GGA level of DFT.

a = 5.341 Å, b = 5.341 Å, c = 5.341 Å
α = 60.00°, β = 60.00°, γ = 60.00°
Sites, in units of the cell vectors:
Na  0.000  0.000  0.000
Er  0.250  0.250  0.250
Tm  0.750  0.750  0.750
In  0.500  0.500  0.500

- Magnetic moment: 0.0 μB per formula unit
- DFT formation energy: -91 meV/atom



[4]
Computed, not measured: crystalline NaYErIn at its relaxed geometry at the PBE-GGA level of DFT.

a = 5.375 Å, b = 5.375 Å, c = 5.375 Å
α = 60.00°, β = 60.00°, γ = 60.00°
Sites, in units of the cell vectors:
Na  0.000  0.000  0.000
Y  0.250  0.250  0.250
Er  0.750  0.750  0.750
In  0.500  0.500  0.500

- Magnetic moment: 0.0 μB per formula unit
- DFT formation energy: -129 meV/atom



[5]
Computed, not measured: crystalline ErNbIn at its relaxed geometry at the PBE-GGA level of DFT.

a = 7.560 Å, b = 6.023 Å, c = 5.840 Å
α = 79.16°, β = 51.49°, γ = 49.35°
Sites, in units of the cell vectors:
Er  0.148  0.148  0.852
Er  0.852  0.852  0.148
Nb  0.250  0.250  0.250
Nb  0.750  0.750  0.750
In  0.337  0.663  0.337
In  0.663  0.337  0.663

- Magnetic moment: 0.0 μB per formula unit
- DFT formation energy: 172 meV/atom



[6]
Computed, not measured: crystalline ErNbIn2 at its relaxed geometry at the PBE-GGA level of DFT.

a = 10.431 Å, b = 10.431 Å, c = 10.431 Å
α = 17.82°, β = 17.82°, γ = 17.82°
Sites, in units of the cell vectors:
Er  0.000  0.000  0.000
Nb  0.500  0.500  0.500
In  0.244  0.244  0.244
In  0.756  0.756  0.756

- Magnetic moment: 0.0 μB per formula unit
- DFT formation energy: 26 meV/atom



[7]
Computed, not measured: crystalline Nd4ErIn3 at its relaxed geometry at the PBE-GGA level of DFT.

a = 10.201 Å, b = 10.201 Å, c = 10.201 Å
α = 151.86°, β = 151.84°, γ = 40.24°
Sites, in units of the cell vectors:
Nd  0.130  0.130  0.000
Nd  0.368  0.368  0.000
Nd  0.632  0.632  0.000
Nd  0.870  0.870  0.000
Er  0.000  0.500  0.500
In  0.251  0.751  0.500
In  0.500  0.000  0.500
In  0.749  0.249  0.500

- Excess energy over the best structure of this formula in the dataset: 0.000 eV/atom
- Magnetic moment: 0.0 μB per formula unit
- DFT formation energy: -348 meV/atom



[8]
Computed, not measured: crystalline Nd2Er3In at its relaxed geometry at the PBE-GGA level of DFT.

a = 7.958 Å, b = 7.958 Å, c = 4.925 Å
α = 90.00°, β = 90.00°, γ = 144.26°
Sites, in units of the cell vectors:
Nd  0.162  0.838  0.000
Nd  0.838  0.162  0.000
Er  0.000  0.000  0.500
Er  0.336  0.664  0.500
Er  0.664  0.336  0.500
In  0.500  0.500  0.000

- Excess energy over the best structure of this formula in the dataset: 0.000 eV/atom
- Magnetic moment: 0.0 μB per formula unit
- DFT formation energy: -146 meV/atom



[9]
Computed, not measured: crystalline Nd4Er4In at its relaxed geometry at the PBE-GGA level of DFT.

a = 7.978 Å, b = 7.978 Å, c = 7.978 Å
α = 95.49°, β = 95.49°, γ = 143.97°
Sites, in units of the cell vectors:
Nd  0.162  0.162  0.323
Nd  0.162  0.838  0.000
Nd  0.838  0.162  0.000
Nd  0.838  0.838  0.677
Er  0.164  0.500  0.664
Er  0.500  0.164  0.664
Er  0.500  0.836  0.336
Er  0.836  0.500  0.336
In  0.500  0.500  0.000

- Magnetic moment: 0.0 μB per formula unit
- DFT formation energy: -70 meV/atom



[10]
Computed, not measured: crystalline NdErIn at its relaxed geometry at the PBE-GGA level of DFT.

a = 5.460 Å, b = 5.460 Å, c = 6.792 Å
α = 90.00°, β = 90.00°, γ = 120.00°
Sites, in units of the cell vectors:
Nd  0.000  0.000  0.000
Nd  0.000  0.000  0.500
Er  0.333  0.667  0.250
Er  0.667  0.333  0.750
In  0.333  0.667  0.750
In  0.667  0.333  0.250

- Excess energy over the best structure of this formula in the dataset: 0.001 eV/atom
- Magnetic moment: 0.0 μB per formula unit
- DFT formation energy: -340 meV/atom



[11]
Computed, not measured: crystalline Nd6ErIn2 at its relaxed geometry at the PBE-GGA level of DFT.

a = 11.228 Å, b = 11.228 Å, c = 5.172 Å
α = 90.00°, β = 90.00°, γ = 66.11°
Sites, in units of the cell vectors:
Nd  0.005  0.176  0.250
Nd  0.030  0.365  0.750
Nd  0.176  0.005  0.750
Nd  0.281  0.523  0.750
Nd  0.365  0.030  0.250
Nd  0.477  0.719  0.750
Nd  0.523  0.281  0.250
Nd  0.635  0.970  0.750
Nd  0.719  0.477  0.250
Nd  0.824  0.995  0.250
Nd  0.970  0.635  0.250
Nd  0.995  0.824  0.750
Er  0.216  0.784  0.250
Er  0.784  0.216  0.750
In  0.209  0.357  0.250
In  0.357  0.209  0.750
In  0.643  0.791  0.250
In  0.791  0.643  0.750

- Excess energy over the best structure of this formula in the dataset: 0.119 eV/atom
- Magnetic moment: 0.0 μB per formula unit
- DFT formation energy: -78 meV/atom



[12]
Computed, not measured: crystalline NdEr5In2 at its relaxed geometry at the PBE-GGA level of DFT.

a = 6.403 Å, b = 6.403 Å, c = 15.818 Å
α = 90.00°, β = 90.00°, γ = 132.07°
Sites, in units of the cell vectors:
Nd  0.238  0.762  0.750
Nd  0.762  0.238  0.250
Er  0.041  0.959  0.250
Er  0.140  0.860  0.533
Er  0.140  0.860  0.967
Er  0.457  0.543  0.603
Er  0.457  0.543  0.897
Er  0.543  0.457  0.103
Er  0.543  0.457  0.397
Er  0.860  0.140  0.033
Er  0.860  0.140  0.467
Er  0.959  0.041  0.750
In  0.274  0.726  0.136
In  0.274  0.726  0.364
In  0.726  0.274  0.636
In  0.726  0.274  0.864

- Magnetic moment: 0.0 μB per formula unit
- DFT formation energy: -136 meV/atom